# 1
Pu5Au3: optimized geometry, GGA-PBE.

Calculated values
Raw total energy ... -10.425 eV per atom
Polymorph energy (0 for the lowest one) ... 0 meV/atom
N(E_F) ... 69.95 states/eV per cell
Energy of formation ... -239 meV/atom
SG ... Cmmm (65)

Cell lengths 8.097, 9.603, 5.039 Å; angles 90.00, 90.00, 90.00 degrees
Element x y z (fractional)
1 Pu 0.000 0.000 0.000
2 Pu 0.213 0.500 0.500
3 Pu 0.250 0.250 0.000
4 Pu 0.250 0.750 0.000
5 Pu 0.287 0.000 0.500
6 Pu 0.500 0.500 0.000
7 Pu 0.713 0.000 0.500
8 Pu 0.750 0.250 0.000
9 Pu 0.750 0.750 0.000
10 Pu 0.787 0.500 0.500
11 Au 0.000 0.217 0.500
12 Au 0.000 0.500 0.000
13 Au 0.000 0.783 0.500
14 Au 0.500 0.000 0.000
15 Au 0.500 0.283 0.500
16 Au 0.500 0.717 0.500

---

# 2
Pu3Au11: optimized geometry, GGA-PBE.

Calculated values
Raw total energy ... -5.940 eV per atom
N(E_F) ... 48.54 states/eV per cell
Energy of formation ... -293 meV/atom
SG ... Immm (71)

Cell lengths 8.489, 8.489, 8.489 Å; angles 147.87, 108.19, 80.85 degrees
Element x y z (fractional)
1 Pu 0.000 0.000 0.000
2 Pu 0.290 0.290 0.000
3 Pu 0.710 0.710 0.000
4 Au 0.022 0.657 0.365
5 Au 0.146 0.869 0.277
6 Au 0.293 0.657 0.635
7 Au 0.337 0.500 0.837
8 Au 0.407 0.131 0.277
9 Au 0.500 0.000 0.500
10 Au 0.593 0.869 0.723
11 Au 0.663 0.500 0.163
12 Au 0.707 0.343 0.365
13 Au 0.854 0.131 0.723
14 Au 0.978 0.343 0.635

---

# 3
RbPuAuS3: optimized geometry, GGA-PBE.

Calculated values
Raw total energy ... -6.279 eV per atom
Formation energy (no corrections) ... -1119 meV/atom
N(E_F) ... 16.01 states/eV per cell
SG ... Cmcm (63)

Cell lengths 7.769, 7.769, 10.339 Å; angles 90.00, 90.00, 149.29 degrees
Element x y z (fractional)
1 Rb 0.236 0.764 0.750
2 Rb 0.764 0.236 0.250
3 Pu 0.500 0.500 0.000
4 Pu 0.500 0.500 0.500
5 Au 0.061 0.939 0.250
6 Au 0.939 0.061 0.750
7 S 0.118 0.882 0.033
8 S 0.118 0.882 0.467
9 S 0.446 0.554 0.250
10 S 0.554 0.446 0.750
11 S 0.882 0.118 0.533
12 S 0.882 0.118 0.967

---

# 4
RbPu2AuS4: optimized geometry, GGA-PBE.

Calculated values
Raw total energy ... -7.478 eV per atom
Formation energy (no corrections) ... -1300 meV/atom
N(E_F) ... 35.66 states/eV per cell
SG ... Cmcm (63)

Cell lengths 7.207, 7.207, 14.108 Å; angles 90.00, 90.00, 146.82 degrees
Element x y z (fractional)
1 Rb 0.115 0.885 0.750
2 Rb 0.885 0.115 0.250
3 Pu 0.369 0.631 0.562
4 Pu 0.369 0.631 0.938
5 Pu 0.631 0.369 0.062
6 Pu 0.631 0.369 0.438
7 Au 0.162 0.838 0.250
8 Au 0.838 0.162 0.750
9 S 0.000 0.000 0.000
10 S 0.000 0.000 0.500
11 S 0.260 0.740 0.100
12 S 0.260 0.740 0.400
13 S 0.438 0.562 0.750
14 S 0.562 0.438 0.250
15 S 0.740 0.260 0.600
16 S 0.740 0.260 0.900